Entry from the Alexandria database: a geometry-optimized La7TlCo2 structure (PBE).

a = 8.382 Å, b = 8.382 Å, c = 5.052 Å
α = 90.00°, β = 90.00°, γ = 110.60°
Atoms (fractional coordinates):
La1 0.000 0.000 0.000
La2 0.190 0.455 0.000
La3 0.196 0.804 0.500
La4 0.455 0.190 0.000
La5 0.545 0.810 0.000
La6 0.804 0.196 0.500
La7 0.810 0.545 0.000
Tl1 0.500 0.500 0.500
Co1 0.191 0.809 0.000
Co2 0.809 0.191 0.000

## Properties
space group: Cmmm
ΔE_f: -92.3 meV per atom
energy: -5.1993 eV/atom
magnetization: 0.00 Bohr magnetons per cell